Computed, not measured: LuTiZnOs after structural relaxation at the PBE-GGA level of DFT.

Cell: 6.522 6.522 6.522 Å, 90.00 90.00 90.00°
Space group F-43m (No. 216)
One atom of each set of equivalent atoms:
Lu1 0.000 0.000 0.000 (multiplicity 4)
Ti1 0.000 0.000 0.500 (multiplicity 4)
Zn1 0.250 0.250 0.250 (multiplicity 4)
Os1 0.250 0.250 0.750 (multiplicity 4)

## Properties
Fermi-level density of states = 2.71 states/eV/f.u.
E_form = -290 meV/atom
volume = 17.34 Å³/atom